AcCdGeF | Alexandria via LeMat-Bulk | GGA-PBE | optimized geometry; energy relative to the elements, uncorrected = -1.69 eV/atom
1.0
4.3617 0.0000 0.0000
0.0000 4.3617 0.0000
0.0000 0.0000 9.2162
Ac Cd Ge F
2 2 2 2
direct
0.2500 0.2500 0.1742
0.7500 0.7500 0.8258
0.2500 0.7500 0.5000
0.7500 0.2500 0.5000
0.2500 0.2500 0.6979
0.7500 0.7500 0.3021
0.2500 0.7500 0.0000
0.7500 0.2500 0.0000